Record 1
First-principles (PBE) data for a relaxed structure of As2PCl, as listed in Alexandria.

Cell: 3.524 3.524 8.105 Å, 90.00 90.00 90.00°
Space group P4mm (No. 99)
One atom of each set of equivalent atoms:
As 0.000 0.000 0.000 x1
As 0.500 0.500 0.335 x1
P 0.500 0.500 0.055 x1
Cl 0.000 0.000 0.726 x1

Results
Its uncorrected formation energy is 0.28 eV/f.u. As for the distance to the lowest polymorph of the same formula: 22.7 meV/atom. The calculation puts the size of the total moment at 0.00 μB per formula unit.

Record 2
First-principles (PBE) data for a relaxed structure of AsPCl4, as listed in Alexandria.

Cell: 8.046 8.046 8.046 Å, 90.00 90.00 90.00°
Space group F-43m (No. 216)
One atom of each set of equivalent atoms:
As 0.000 0.000 0.000 x4
P 0.250 0.250 0.250 x4
Cl 0.125 0.125 0.625 x16

Results
Its uncorrected formation energy is 7.09 eV/f.u. The calculation puts the size of the total moment at 0.01 μB per formula unit.

Record 3
First-principles (PBE) data for a relaxed structure of AsPCl, as listed in Alexandria.

Cell: 11.434 3.479 9.159 Å, 90.00 101.76 90.00°
Space group Cm (No. 8)
One atom of each set of equivalent atoms:
As 0.000 0.000 0.000 x2
As 0.030 0.500 0.816 x2
P 0.301 0.500 0.547 x2
P 0.322 0.000 0.712 x2
Cl 0.190 0.000 0.121 x2
Cl 0.457 0.500 0.462 x2

Results
Its uncorrected formation energy is -0.69 eV/f.u. As for the distance to the lowest polymorph of the same formula: 0.0 meV/atom. The calculation puts the size of the total moment at 0.00 μB per formula unit.

Record 4
First-principles (PBE) data for a relaxed structure of As3PCl, as listed in Alexandria.

Cell: 4.839 4.839 4.839 Å, 90.00 90.00 90.00°
Space group Pm-3m (No. 221)
One atom of each set of equivalent atoms:
As 0.000 0.000 0.500 x3
P 0.000 0.000 0.000 x1
Cl 0.500 0.500 0.500 x1

Results
Its uncorrected formation energy is 3.48 eV/f.u. As for the distance to the lowest polymorph of the same formula: 0.0 meV/atom. The calculation puts the size of the total moment at 0.00 μB per formula unit.

Number 1: uncorrected energy -4.069 eV per atom. Number 2: uncorrected energy -1.726 eV per atom. Number 3: uncorrected energy -4.199 eV per atom. Number 4: uncorrected energy -3.544 eV per atom.